This record from Alexandria via LeMat-Bulk describes an optimized crystal structure of Ba2YCu. The functional is GGA-PBE.

The value obtained for the formation enthalpy at 0 K is 0.282 eV/atom.

The space group is R-3m (No. 166, hexagonal axes) and the conventional cell measures 4.1441, 4.1441 and 32.3018 Å, with angles of 90.00, 90.00 and 120.00 degrees. Symmetry generates all atoms from Ba at (0.0000, 0.0000, 0.2334), Y at (0.0000, 0.0000, 0.0000) and Cu at (0.0000, 0.0000, 0.5000).